This record from Alexandria describes a relaxed structure of CoGeP. The functional is PBE-GGA.

```
CoGeP
1.0
-2.4352 -5.7539 1.5432
4.0622 -1.8839 -0.6140
1.0020 1.0886 5.6398
P Co Ge
4 4 4
Direct
0.4439 0.7037 0.1135
0.5561 0.2963 0.8865
0.0561 0.2037 0.6135
0.9439 0.7963 0.3865
0.6121 0.7359 0.4430
0.8879 0.2359 0.9430
0.1121 0.7641 0.0570
0.3879 0.2641 0.5570
0.1915 0.2695 0.1900
0.8085 0.7305 0.8100
0.3085 0.7695 0.6900
0.6915 0.2305 0.3100
```

## Properties
Energy above the lowest structure with this stoichiometry, meV per atom: 0
Space-group type: P2_1/c (14)
Total DFT energy (no corrections), eV/atom: -5.822

=====

This record from Alexandria describes a relaxed structure of CoGe3P. The functional is PBE-GGA.

```
CoGe3P
1.0
-1.9830 2.8686 2.8591
-1.0101 -3.4331 2.7439
3.9221 0.5662 2.1522
Ge P Co
3 1 1
Direct
0.5000 0.0000 0.0000
0.0000 0.5000 0.0000
0.0000 0.0000 0.5000
0.5000 0.5000 0.5000
0.0000 0.0000 0.0000
```

## Properties
Energy above the lowest structure with this stoichiometry, meV per atom: 0
Space-group type: Pm-3m (221)
Total DFT energy (no corrections), eV/atom: -5.000

=====

This record from Alexandria describes a relaxed structure of Co2GeP. The functional is PBE-GGA.

```
Co2GeP
1.0
0.0000 2.8658 2.8658
2.8658 0.0000 2.8658
2.8658 2.8658 0.0000
Co P Ge
2 1 1
Direct
0.2500 0.2500 0.2500
0.7500 0.7500 0.7500
0.0000 0.0000 0.0000
0.5000 0.5000 0.5000
```

## Properties
Space-group type: Fm-3m (225)
Total DFT energy (no corrections), eV/atom: -6.068

=====

So what do the calculations give for energy relative to the elements? Going down the list: -111.4, 274.0, -8.5 meV per atom.